Below is Hf2BO after structural relaxation, with properties calculated at the PBE-GGA level.

a b c (Å): 5.882 5.882 5.882
angles (deg): 90.00 90.00 90.00
Space group Fm-3m (No. 225)
One atom of each set of equivalent atoms:
Hf: 0.250 0.250 0.250 (multiplicity 8)
B: 0.000 0.000 0.000 (multiplicity 4)
O: 0.000 0.000 0.500 (multiplicity 4)

Computed properties:
Distance to the lowest polymorph of the same formula: 0.667 eV per atom
Energy relative to the elements, uncorrected: -0.756 eV/atom
Electronic total energy: -8.642 eV per atom

***

Below is Hf2BO after structural relaxation, with properties calculated at the PBE-GGA level.

a b c (Å): 3.5784 3.5784 19.0732
angles (deg): 90.00 90.00 120.00
Space group R-3m (No. 166, hexagonal axes)
One atom of each set of equivalent atoms:
Hf: 0.0000 0.0000 0.1027 (multiplicity 6)
B: 0.0000 0.0000 0.5000 (multiplicity 3)
O: 0.0000 0.0000 0.0000 (multiplicity 3)

Computed properties:
Distance to the lowest polymorph of the same formula: 0.080 eV per atom
Energy relative to the elements, uncorrected: -1.344 eV/atom
Electronic total energy: -9.229 eV per atom

***

Below is HfB2O2 after structural relaxation, with properties calculated at the PBE-GGA level.

a b c (Å): 6.039 6.039 2.817
angles (deg): 90.00 90.00 90.00
Space group P4/mbm (No. 127)
One atom of each set of equivalent atoms:
Hf: 0.000 0.000 0.000 (multiplicity 2)
B: 0.212 0.288 0.500 (multiplicity 4)
O: 0.144 0.356 0.000 (multiplicity 4)

Computed properties:
Distance to the lowest polymorph of the same formula: 0.000 eV per atom
Energy relative to the elements, uncorrected: -0.743 eV/atom
Electronic total energy: -7.388 eV per atom

***

Below is Hf3BO after structural relaxation, with properties calculated at the PBE-GGA level.

a b c (Å): 4.271 4.271 4.271
angles (deg): 90.00 90.00 90.00
Space group Pm-3m (No. 221)
One atom of each set of equivalent atoms:
Hf: 0.000 0.000 0.500 (multiplicity 3)
B: 0.500 0.500 0.500 (multiplicity 1)
O: 0.000 0.000 0.000 (multiplicity 1)

Computed properties:
Distance to the lowest polymorph of the same formula: 0.283 eV per atom
Energy relative to the elements, uncorrected: -0.440 eV/atom
Electronic total energy: -8.739 eV per atom

***

Below is Hf2BO after structural relaxation, with properties calculated at the PBE-GGA level.

a b c (Å): 3.2807 3.2807 17.2473
angles (deg): 90.00 90.00 120.00
Space group R3m (No. 160, hexagonal axes)
One atom of each set of equivalent atoms:
Hf: 0.0000 0.0000 0.0000 (multiplicity 3)
Hf: 0.0000 0.0000 0.1819 (multiplicity 3)
B: 0.0000 0.0000 0.5924 (multiplicity 3)
O: 0.0000 0.0000 0.4210 (multiplicity 3)

Computed properties:
Distance to the lowest polymorph of the same formula: 0.000 eV per atom
Energy relative to the elements, uncorrected: -1.424 eV/atom
Electronic total energy: -9.310 eV per atom

***

Below is HfPaB2O8 after structural relaxation, with properties calculated at the PBE-GGA level.

a b c (Å): 6.579 6.579 5.759
angles (deg): 90.00 90.00 90.00
Space group I-4m2 (No. 119)
One atom of each set of equivalent atoms:
Hf: 0.000 0.000 0.000 (multiplicity 2)
Pa: 0.000 0.500 0.750 (multiplicity 2)
B: 0.000 0.000 0.500 (multiplicity 2)
B: 0.000 0.500 0.250 (multiplicity 2)
O: 0.000 0.170 0.667 (multiplicity 8)
O: 0.000 0.320 0.092 (multiplicity 8)

Computed properties:
Energy relative to the elements, uncorrected: -2.843 eV/atom
Electronic total energy: -8.882 eV per atom

***

Below is HfBPbO5 after structural relaxation, with properties calculated at the PBE-GGA level.

a b c (Å): 6.645 8.712 7.449
angles (deg): 90.00 113.88 90.00
Space group C2/c (No. 15)
One atom of each set of equivalent atoms:
Hf: 0.000 0.000 0.000 (multiplicity 4)
B: 0.000 0.319 0.250 (multiplicity 4)
Pb: 0.000 0.343 0.750 (multiplicity 4)
O: 0.000 0.086 0.750 (multiplicity 4)
O: 0.093 0.218 0.135 (multiplicity 8)
O: 0.172 0.422 0.394 (multiplicity 8)

Computed properties:
Energy relative to the elements, uncorrected: -2.235 eV/atom
Electronic total energy: -7.876 eV per atom

***

Below is RbHfB2O6 after structural relaxation, with properties calculated at the PBE-GGA level.

a b c (Å): 8.721 9.660 7.515
angles (deg): 90.00 106.70 90.00
Space group C2/c (No. 15)
One atom of each set of equivalent atoms:
Rb: 0.000 0.113 0.250 (multiplicity 4)
Hf: 0.000 0.320 0.750 (multiplicity 4)
B: 0.197 0.398 0.176 (multiplicity 8)
O: 0.087 0.330 0.036 (multiplicity 8)
O: 0.161 0.165 0.735 (multiplicity 8)
O: 0.163 0.471 0.725 (multiplicity 8)

Computed properties:
Energy relative to the elements, uncorrected: -2.539 eV/atom
Electronic total energy: -7.941 eV per atom